[1]
CuRe2Ge4 PBE relaxed; space group = I4/mmm (139); formation energy = 90 kJ/mol of atoms; V = 19.73 Å³/atom; density of states at the Fermi level = 0.8526 states/eV per atom
1.0
4.768 0.000 0.000
0.000 4.768 0.000
2.384 2.384 6.074
Ge Cu Re
4 1 2
Cartesian
0.000 2.384 0.000
2.384 0.000 0.000
4.768 4.768 2.365
2.384 2.384 3.709
0.000 0.000 0.000
2.384 2.384 1.202
4.768 4.768 4.872



[2]
CrPt3Rh PBE relaxed; space group = Pm-3m (221); formation energy = 106 kJ/mol of atoms; V = 18.43 Å³/atom; density of states at the Fermi level = 1.2593 states/eV per atom
1.0
4.516 0.000 0.000
0.000 4.516 0.000
0.000 0.000 4.516
Pt Cr Rh
3 1 1
Cartesian
2.258 0.000 0.000
0.000 2.258 0.000
0.000 0.000 2.258
0.000 0.000 0.000
2.258 2.258 2.258



[3]
CoAgRu2Rh PBE relaxed; space group = P4/mmm (123); formation energy = 158 kJ/mol of atoms; V = 19.72 Å³/atom; density of states at the Fermi level = 1.6983 states/eV per atom
1.0
-3.874 -0.565 -2.519
0.620 -4.506 0.057
-2.503 -0.294 3.914
Ru Ag Rh Co
2 1 1 1
Cartesian
-1.251 -0.147 1.957
-1.937 -0.282 -1.260
-2.878 -2.683 0.726
0.000 0.000 0.000
0.310 -2.253 0.029



[4]
NdDy6Tl PBE relaxed; space group = P4/mmm (123); formation energy = -6 kJ/mol of atoms; V = 30.51 Å³/atom; density of states at the Fermi level = 1.1264 states/eV per atom
1.0
4.914 0.000 0.000
0.000 4.914 0.000
0.000 0.000 10.109
Tl Nd Dy
1 1 6
Cartesian
0.000 0.000 5.055
0.000 0.000 0.000
2.457 0.000 7.512
0.000 2.457 2.598
0.000 2.457 7.512
2.457 2.457 5.055
2.457 2.457 0.000
2.457 0.000 2.598



[5]
InFePb2 PBE relaxed; space group = Cmmm (65); formation energy = 48 kJ/mol of atoms; V = 25.02 Å³/atom; density of states at the Fermi level = 0.9521 states/eV per atom
1.0
-0.904 2.232 4.955
-4.865 -2.163 -1.415
0.874 -2.934 1.482
Pb In Fe
2 1 1
Cartesian
0.000 0.000 0.000
-2.885 0.035 1.770
-1.996 -2.549 0.033
-0.015 -0.351 3.218



[6]
Zr2Cd2Hg PBE relaxed; space group = P-1 (2); formation energy = -6 kJ/mol of atoms; V = 22.12 Å³/atom; density of states at the Fermi level = 0.4716 states/eV per atom
1.0
5.500 -1.450 0.609
1.491 6.285 0.441
0.709 0.442 3.116
Cd Zr Hg
2 2 1
Cartesian
2.880 1.547 1.626
4.820 3.729 2.540
5.100 -0.205 3.031
2.600 5.481 1.136
0.745 3.142 0.221



[7]
LaC3F PBE relaxed; space group = Pm-3m (221); formation energy (no corrections) = 2.943 eV/atom; V = 20.92 Å³/atom; density of states at the Fermi level = 1.1125 states/eV per atom
1.0
4.712 0.000 0.000
0.000 4.712 0.000
0.000 0.000 4.712
C F La
3 1 1
Cartesian
2.356 0.000 0.000
0.000 2.356 0.000
0.000 0.000 2.356
2.356 2.356 2.356
0.000 0.000 0.000



[8]
ScTlTe PBE relaxed; space group = F-43m (216); formation energy (no corrections) = -0.165 eV/atom; V = 31.34 Å³/atom; density of states at the Fermi level = 0.8282 states/eV per atom
1.0
5.104 0.000 0.000
2.552 4.420 0.000
2.552 1.473 4.168
Te Sc Tl
1 1 1
Cartesian
2.552 1.473 1.042
5.104 2.947 2.084
0.000 0.000 0.000



Repeat the fifth record exactly.
InFePb2 PBE relaxed; space group = Cmmm (65); formation energy = 48 kJ/mol of atoms; V = 25.02 Å³/atom; density of states at the Fermi level = 0.9521 states/eV per atom
1.0
-0.904 2.232 4.955
-4.865 -2.163 -1.415
0.874 -2.934 1.482
Pb In Fe
2 1 1
Cartesian
0.000 0.000 0.000
-2.885 0.035 1.770
-1.996 -2.549 0.033
-0.015 -0.351 3.218



Among the records above, which one has the highest V? ScTlTe



Look up the V of the seventh one. 20.92 Å³/atom



Which of these has the lowest density of states at the Fermi level? Zr2Cd2Hg